Here is a geometry-optimized SrFeO3 structure from the Alexandria database. Energies are from PBE+U.

Structure (POSCAR):
```
SrFeO3
1.0
12.674 0.000 1.077
5.014 4.792 -1.881
-5.014 4.792 1.881
Sr Fe O
4 4 12
direct
0.221 0.377 0.400
0.279 0.900 0.877
0.779 0.623 0.600
0.721 0.100 0.123
0.750 0.175 0.675
0.250 0.825 0.325
0.750 0.493 0.993
0.250 0.507 0.007
0.423 0.405 0.447
0.077 0.947 0.905
0.577 0.595 0.553
0.923 0.053 0.095
0.057 0.244 0.167
0.443 0.667 0.744
0.943 0.756 0.833
0.557 0.333 0.256
0.656 0.838 0.898
0.844 0.398 0.338
0.344 0.162 0.102
0.156 0.602 0.662
```

Results
VASP energy in eV per atom: -6.238
Crystal system: monoclinic